An optimized crystal structure of LaThPtCl, computed with PBE.

Cell and atoms, written as CIF:
```
data_LaThPtCl
_symmetry_space_group_name_H-M 'R 3 m'
_symmetry_Int_Tables_number 160
_symmetry_space_group_name_Hall 'R 3 -2"'
_cell_length_a 4.1950
_cell_length_b 4.1950
_cell_length_c 22.8663
_cell_angle_alpha 90.00
_cell_angle_beta 90.00
_cell_angle_gamma 120.00
loop_
_atom_site_label
_atom_site_type_symbol
_atom_site_fract_x
_atom_site_fract_y
_atom_site_fract_z
_atom_site_occupancy
La1 La 0.0000 0.0000 0.0000 1
Th1 Th 0.0000 0.0000 0.1922 1
Pt1 Pt 0.0000 0.0000 0.5906 1
Cl1 Cl 0.0000 0.0000 0.7643 1
```

The uncorrected formation energy comes out at -1.248 eV/atom. Its calculated density is 8.60 g/cm3. The value obtained for the total energy is -75.681 eV per cell.

=====

An optimized crystal structure of LiThAl2Pt2, computed with PBE.

Cell and atoms, written as CIF:
```
data_LiThAl2Pt2
_symmetry_space_group_name_H-M 'P -3 m 1'
_symmetry_Int_Tables_number 164
_symmetry_space_group_name_Hall '-P 3 2"'
_cell_length_a 4.3430
_cell_length_b 4.3430
_cell_length_c 6.7942
_cell_angle_alpha 90.00
_cell_angle_beta 90.00
_cell_angle_gamma 120.00
loop_
_atom_site_label
_atom_site_type_symbol
_atom_site_fract_x
_atom_site_fract_y
_atom_site_fract_z
_atom_site_occupancy
Li1 Li 0.0000 0.0000 0.0000 1
Th1 Th 0.0000 0.0000 0.5000 1
Al1 Al 0.3333 0.6667 0.8482 1
Pt1 Pt 0.3333 0.6667 0.2303 1
```

The formation energy from the elements is -22.944 kcal/mol of atoms. Its calculated density is 10.22 g/cm3. The value obtained for the total energy is -34.870 eV per cell.

=====

An optimized crystal structure of SrCu4Si, computed with PBE.

Cell and atoms, written as CIF:
```
data_SrCu4Si
_symmetry_space_group_name_H-M 'C m m m'
_symmetry_Int_Tables_number 65
_symmetry_space_group_name_Hall '-C 2 2'
_cell_length_a 5.429
_cell_length_b 8.779
_cell_length_c 4.072
_cell_angle_alpha 90.00
_cell_angle_beta 90.00
_cell_angle_gamma 90.00
loop_
_atom_site_label
_atom_site_type_symbol
_atom_site_fract_x
_atom_site_fract_y
_atom_site_fract_z
_atom_site_occupancy
Sr1 Sr 0.000 0.000 0.000 1
Cu1 Cu 0.000 0.346 0.000 1
Cu2 Cu 0.250 0.250 0.500 1
Si1 Si 0.000 0.500 0.500 1
```

The uncorrected formation energy comes out at -0.174 eV/atom. Its calculated density is 6.33 g/cm3. The value obtained for the total energy is -49.062 eV per cell.

=====

An optimized crystal structure of MoOs4, computed with PBE.

Cell and atoms, written as CIF:
```
data_MoOs4
_symmetry_space_group_name_H-M 'P m -3 m'
_symmetry_Int_Tables_number 221
_symmetry_space_group_name_Hall '-P 4 2 3'
_cell_length_a 4.604
_cell_length_b 4.604
_cell_length_c 4.604
_cell_angle_alpha 90.00
_cell_angle_beta 90.00
_cell_angle_gamma 90.00
loop_
_atom_site_label
_atom_site_type_symbol
_atom_site_fract_x
_atom_site_fract_y
_atom_site_fract_z
_atom_site_occupancy
Mo1 Mo 0.000 0.000 0.000 1
Os1 Os 0.000 0.000 0.500 1
Os2 Os 0.500 0.500 0.500 1
```

The formation energy from the elements is 63.220 kcal/mol of atoms. Its calculated density is 14.58 g/cm3. The value obtained for the total energy is -42.043 eV per cell.

=====

An optimized crystal structure of Be2AsPb, computed with PBE.

Cell and atoms, written as CIF:
```
data_Be2AsPb
_symmetry_space_group_name_H-M 'C 1 2/m 1'
_symmetry_Int_Tables_number 12
_cell_length_a 5.987
_cell_length_b 6.523
_cell_length_c 4.203
_cell_angle_alpha 90.00
_cell_angle_beta 116.53
_cell_angle_gamma 90.00
loop_
_symmetry_equiv_pos_as_xyz
'x,y,z'
'-x,-y,-z'
'-x,y,-z'
'x,-y,z'
'x+1/2,y+1/2,z'
'-x+1/2,-y+1/2,-z'
'-x+1/2,y+1/2,-z'
'x+1/2,-y+1/2,z'
loop_
_atom_site_label
_atom_site_type_symbol
_atom_site_fract_x
_atom_site_fract_y
_atom_site_fract_z
_atom_site_occupancy
Be1 Be 0.250 0.250 0.000 1
As1 As 0.000 0.000 0.500 1
Pb1 Pb 0.000 0.500 0.500 1
```

The formation energy from the elements is 15.376 kcal/mol of atoms. Its calculated density is 6.79 g/cm3. The value obtained for the total energy is -26.286 eV per cell.

=====

An optimized crystal structure of TlNiHg2, computed with PBE.

Cell and atoms, written as CIF:
```
data_TlNiHg2
_symmetry_space_group_name_H-M 'P m m m'
_symmetry_Int_Tables_number 47
_cell_length_a 3.413
_cell_length_b 4.679
_cell_length_c 5.405
_cell_angle_alpha 90.00
_cell_angle_beta 90.00
_cell_angle_gamma 90.00
loop_
_symmetry_equiv_pos_as_xyz
'x,y,z'
'-x,-y,-z'
'-x,-y,z'
'x,y,-z'
'x,-y,-z'
'-x,y,z'
'-x,y,-z'
'x,-y,z'
loop_
_atom_site_label
_atom_site_type_symbol
_atom_site_fract_x
_atom_site_fract_y
_atom_site_fract_z
_atom_site_occupancy
Tl1 Tl 0.000 0.000 0.000 1
Ni1 Ni 0.500 0.500 0.000 1
Hg1 Hg 0.000 0.500 0.500 1
Hg2 Hg 0.500 0.000 0.500 1
```

The formation energy from the elements is 8.763 kcal/mol of atoms. Its calculated density is 12.78 g/cm3. The value obtained for the total energy is -7.231 eV per cell.

=====

An optimized crystal structure of Mn2CuTc, computed with PBE.

Cell and atoms, written as CIF:
```
data_Mn2CuTc
_symmetry_space_group_name_H-M 'I 4/m m m'
_symmetry_Int_Tables_number 139
_symmetry_space_group_name_Hall '-I 4 2'
_cell_length_a 3.748
_cell_length_b 3.748
_cell_length_c 7.116
_cell_angle_alpha 90.00
_cell_angle_beta 90.00
_cell_angle_gamma 90.00
loop_
_atom_site_label
_atom_site_type_symbol
_atom_site_fract_x
_atom_site_fract_y
_atom_site_fract_z
_atom_site_occupancy
Mn1 Mn 0.000 0.500 0.250 1
Cu1 Cu 0.000 0.000 0.000 1
Tc1 Tc 0.000 0.000 0.500 1
```

The formation energy from the elements is 3.202 kcal/mol of atoms. Its calculated density is 9.02 g/cm3. The value obtained for the total energy is -64.492 eV per cell.

=====

An optimized crystal structure of GaAg3O, computed with PBE.

Cell and atoms, written as CIF:
```
data_GaAg3O
_symmetry_space_group_name_H-M 'P m -3 m'
_symmetry_Int_Tables_number 221
_symmetry_space_group_name_Hall '-P 4 2 3'
_cell_length_a 4.522
_cell_length_b 4.522
_cell_length_c 4.522
_cell_angle_alpha 90.00
_cell_angle_beta 90.00
_cell_angle_gamma 90.00
loop_
_atom_site_label
_atom_site_type_symbol
_atom_site_fract_x
_atom_site_fract_y
_atom_site_fract_z
_atom_site_occupancy
Ga1 Ga 0.000 0.000 0.000 1
Ag1 Ag 0.000 0.500 0.500 1
O1 O 0.500 0.500 0.500 1
```

The uncorrected formation energy comes out at 0.120 eV/atom. Its calculated density is 7.35 g/cm3. The value obtained for the total energy is -15.941 eV per cell.

=====

An optimized crystal structure of Mg2Zr2Sc, computed with PBE.

Cell and atoms, written as CIF:
```
data_Mg2Zr2Sc
_symmetry_space_group_name_H-M 'I 4/m m m'
_symmetry_Int_Tables_number 139
_symmetry_space_group_name_Hall '-I 4 2'
_cell_length_a 3.195
_cell_length_b 3.195
_cell_length_c 22.297
_cell_angle_alpha 90.00
_cell_angle_beta 90.00
_cell_angle_gamma 90.00
loop_
_atom_site_label
_atom_site_type_symbol
_atom_site_fract_x
_atom_site_fract_y
_atom_site_fract_z
_atom_site_occupancy
Mg1 Mg 0.000 0.000 0.201 1
Zr1 Zr 0.000 0.000 0.399 1
Sc1 Sc 0.000 0.000 0.000 1
```

The formation energy from the elements is -0.217 kcal/mol of atoms. Its calculated density is 4.03 g/cm3. The value obtained for the total energy is -53.328 eV per cell.

=====

An optimized crystal structure of CaTb6Er, computed with PBE.

Cell and atoms, written as CIF:
```
data_CaTb6Er
_symmetry_space_group_name_H-M 'P -1'
_symmetry_Int_Tables_number 2
_cell_length_a 6.619
_cell_length_b 6.771
_cell_length_c 6.984
_cell_angle_alpha 117.27
_cell_angle_beta 104.46
_cell_angle_gamma 92.14
loop_
_symmetry_equiv_pos_as_xyz
'x,y,z'
'-x,-y,-z'
loop_
_atom_site_label
_atom_site_type_symbol
_atom_site_fract_x
_atom_site_fract_y
_atom_site_fract_z
_atom_site_occupancy
Ca1 Ca 0.000 0.000 0.000 1
Tb1 Tb 0.240 0.576 0.482 1
Tb2 Tb 0.254 0.543 0.996 1
Tb3 Tb 0.281 0.097 0.530 1
Er1 Er 0.500 0.000 0.000 1
```

The formation energy from the elements is 5.127 kcal/mol of atoms. Its calculated density is 7.27 g/cm3. The value obtained for the total energy is -32.567 eV per cell.